# BaSr7Ti7MnO24 | Alexandria via LeMat-Bulk | PBE with a Hubbard U | optimized geometry
# E	-315.05	eV for the cell shown
# space-group type	R3m, No. 160
data_BaSr7Ti7MnO24
_cell_length_a 7.905
_cell_length_b 7.905
_cell_length_c 7.905
_cell_angle_alpha 89.91
_cell_angle_beta 89.91
_cell_angle_gamma 89.91
_symmetry_space_group_name_H-M 'P 1'
_symmetry_Int_Tables_number 1
_symmetry_space_group_name_Hall 'P 1'
loop_
_atom_site_label
_atom_site_type_symbol
_atom_site_fract_x
_atom_site_fract_y
_atom_site_fract_z
_atom_site_occupancy
Ti1 Ti 0.507 0.005 0.507 1
O1 O 0.997 0.751 0.997 1
Ti2 Ti 0.004 0.507 0.004 1
Sr1 Sr 0.757 0.252 0.252 1
O2 O 0.497 0.497 0.747 1
O3 O 0.747 0.497 0.497 1
O4 O 0.993 0.501 0.246 1
Sr2 Sr 0.754 0.754 0.754 1
O5 O 0.995 0.499 0.748 1
Ti3 Ti 0.005 0.507 0.507 1
O6 O 0.995 0.995 0.244 1
O7 O 0.245 0.500 0.500 1
Sr3 Sr 0.252 0.757 0.252 1
Ti4 Ti 0.507 0.004 0.004 1
Ti5 Ti 0.507 0.507 0.005 1
Sr4 Sr 0.252 0.252 0.757 1
O8 O 0.500 0.245 0.500 1
O9 O 0.501 0.993 0.246 1
O10 O 0.751 0.997 0.997 1
O11 O 0.500 0.500 0.245 1
O12 O 0.499 0.995 0.748 1
O13 O 0.748 0.499 0.995 1
O14 O 0.993 0.246 0.501 1
Sr5 Sr 0.254 0.755 0.755 1
O15 O 0.497 0.747 0.497 1
Sr6 Sr 0.755 0.755 0.254 1
O16 O 0.748 0.995 0.499 1
Ti6 Ti 0.507 0.507 0.507 1
O17 O 0.501 0.246 0.993 1
O18 O 0.246 0.993 0.501 1
O19 O 0.244 0.995 0.995 1
Mn1 Mn 0.001 0.001 0.001 1
Ba1 Ba 0.250 0.250 0.250 1
O20 O 0.997 0.997 0.751 1
Ti7 Ti 0.004 0.004 0.507 1
O21 O 0.246 0.501 0.993 1
O22 O 0.499 0.748 0.995 1
O23 O 0.995 0.748 0.499 1
Sr7 Sr 0.755 0.254 0.755 1
O24 O 0.995 0.244 0.995 1